Here is an optimized crystal structure of PaCo9Ni2 from Alexandria via LeMat-Bulk. Energies are from PBE.

```
PaCo9Ni2
1.0
4.6476 0.0000 0.0000
0.0000 7.9673 0.0000
0.0000 0.0000 7.9673
Co Ni Pa
18 4 2
Direct
0.2343 0.3211 0.1789 Co
0.5000 0.2100 0.9339 Co
0.5000 0.5000 0.0000 Co
0.5000 0.9339 0.7900 Co
0.7657 0.3211 0.1789 Co
0.7657 0.6789 0.8211 Co
0.5000 0.7100 0.5661 Co
0.5000 0.0661 0.2100 Co
0.5000 0.2900 0.4339 Co
0.5000 0.7900 0.0661 Co
0.5000 0.4339 0.7100 Co
0.5000 0.5661 0.2900 Co
0.7657 0.8211 0.3211 Co
0.7657 0.1789 0.6789 Co
0.2343 0.8211 0.3211 Co
0.2343 0.6789 0.8211 Co
0.2343 0.1789 0.6789 Co
0.5000 0.0000 0.5000 Co
0.0000 0.6133 0.1133 Ni
0.0000 0.8867 0.6133 Ni
0.0000 0.3867 0.8867 Ni
0.0000 0.1133 0.3867 Ni
0.0000 0.5000 0.5000 Pa
0.0000 0.0000 0.0000 Pa
```

Results
- energy relative to the elements (kJ/mol of formula units) = -65
- DOS at the Fermi energy (states/eV per cell) = 36.0
- V (Å³ per cell) = 295.02